# 1
## MgZrCd2 (PBE)

Data for MgZrCd2 after structural relaxation.

Structure (POSCAR):
```
MgZrCd2
1.0
2.987 0.000 0.000
0.000 4.427 0.000
0.000 0.000 6.486
Mg Zr Cd
1 1 2
direct
0.000 0.000 0.000 Mg
0.000 0.000 0.500 Zr
0.500 0.500 0.248 Cd
0.500 0.500 0.752 Cd
```

Summary:
The calculation puts the formation energy at -76 meV/atom. For the calculated total energy, the calculation gives -3.069 eV/atom. As for the volume: 85.8 Å³ per cell. The density of states at the Fermi level is 0.529 states/eV per atom.

***

# 2
## AlTlC3 (PBE)

Data for AlTlC3 after structural relaxation.

Structure (POSCAR):
```
AlTlC3
1.0
4.062 0.000 0.000
0.000 4.062 0.000
0.000 0.000 4.062
Al Tl C
1 1 3
direct
0.000 0.000 0.000 Al
0.500 0.500 0.500 Tl
0.000 0.000 0.500 C
0.000 0.500 0.000 C
0.500 0.000 0.000 C
```

Summary:
The calculation puts the formation energy at 2252 meV/atom. The energy above the most stable polymorph in this dataset is 0.000 eV/atom. For the calculated total energy, the calculation gives -4.504 eV/atom. As for the volume: 67.0 Å³ per cell. The density of states at the Fermi level is 0.454 states/eV per atom.

***

# 3
## Rb2HS (PBE)

Data for Rb2HS after structural relaxation.

Structure (POSCAR):
```
Rb2HS
1.0
2.210 -8.059 0.000
2.210 8.059 0.000
0.000 0.000 8.755
Rb H S
4 2 2
direct
0.114 0.886 0.507 Rb
0.114 0.886 0.993 Rb
0.886 0.114 0.007 Rb
0.886 0.114 0.493 Rb
0.416 0.584 0.750 H
0.584 0.416 0.250 H
0.499 0.501 0.250 S
0.501 0.499 0.750 S
```

Summary:
The energy above the most stable polymorph in this dataset is 0.000 eV/atom. For the calculated total energy, the calculation gives -2.875 eV/atom. As for the volume: 311.9 Å³ per cell. The density of states at the Fermi level is 0.356 states/eV per atom.

***

# 4
## Nd6PuCd5 (PBE)

Data for Nd6PuCd5 after structural relaxation.

Structure (POSCAR):
```
Nd6PuCd5
1.0
-2.732 3.893 8.169
2.732 -3.893 8.169
2.732 3.893 -8.169
Nd Pu Cd
6 1 5
direct
0.081 0.333 0.748 Nd
0.240 0.000 0.240 Nd
0.415 0.667 0.748 Nd
0.585 0.333 0.252 Nd
0.760 0.000 0.760 Nd
0.919 0.667 0.252 Nd
0.500 0.500 0.000 Pu
0.000 0.500 0.500 Cd
0.168 0.168 0.000 Cd
0.339 0.839 0.500 Cd
0.661 0.161 0.500 Cd
0.832 0.832 0.000 Cd
```

Summary:
The calculation puts the formation energy at -218 meV/atom. For the calculated total energy, the calculation gives -4.178 eV/atom. As for the volume: 347.5 Å³ per cell. The density of states at the Fermi level is 1.464 states/eV per atom.